4
Lattice="3.6797 0.0000 0.0000 0.0000 4.6010 -0.1232 -1.8399 -1.7945 3.5588" Properties=species:S:1:pos:R:3 comment="Li2RhSe | Alexandria via LeMat-Bulk | SCAN | PBEsol geometry" rho_g_cm3=5.5 dos_at_fermi_per_ev_cell=1.42 e_tot_ev_per_cell=-61.07 formation_energy_uncorrected_kj_per_mol_atoms=-58.9 spacegroup="Cm, No. 8" pbc="T T T"
Li 1.8399 2.8678 3.2292
Li 1.8399 0.3123 1.7674
Rh 1.8399 2.6953 0.1952
Se 0.0000 2.0381 1.6178